DFT (PBE) results for a relaxed BiSbHI2 crystal.

Cell lengths 5.809, 5.809, 3.960 Å; angles 90.00, 90.00, 90.00 degrees
Element x y z (fractional)
I 0.000 0.500 0.000
I 0.500 0.000 0.000
Sb 0.000 0.000 0.500
Bi 0.500 0.500 0.500
H 0.000 0.000 0.000

Computed properties:
D(E_F): 0.534 states/eV per atom
Density: 7.28 g/cm³
Relative energy among the computed polymorphs: 0.0 kJ per mole of atoms
Size of the total moment: 0.0 Bohr magnetons per cell
Total DFT energy (no corrections): -2.51 eV per atom

=====

DFT (PBE) results for a relaxed Li2CaZn9 crystal.

Cell lengths 5.249, 5.249, 9.007 Å; angles 73.06, 73.06, 60.00 degrees
Element x y z (fractional)
Li 0.854 0.854 0.437
Li 0.146 0.146 0.563
Ca 0.000 0.000 0.000
Zn 0.666 0.666 0.002
Zn 0.334 0.334 0.998
Zn 0.500 0.500 0.500
Zn 0.411 0.411 0.260
Zn 0.919 0.411 0.260
Zn 0.411 0.919 0.260
Zn 0.589 0.589 0.740
Zn 0.589 0.081 0.740
Zn 0.081 0.589 0.740

Computed properties:
D(E_F): 0.402 states/eV per atom
Density: 5.27 g/cm³
Size of the total moment: 0.0 Bohr magnetons per cell
ΔH_f (0 K): -2.3 eV per formula unit
Total DFT energy (no corrections): -1.63 eV per atom

=====

DFT (PBE) results for a relaxed Ta4IrCl crystal.

Cell lengths 5.423, 5.423, 5.423 Å; angles 60.00, 60.00, 60.00 degrees
Element x y z (fractional)
Ta 0.877 0.374 0.374
Ta 0.374 0.374 0.877
Ta 0.374 0.877 0.374
Ta 0.374 0.374 0.374
Ir 0.000 0.000 0.000
Cl 0.750 0.750 0.750

Computed properties:
D(E_F): 1.065 states/eV per atom
Formation energy from raw total energies: 0.7889 eV per atom
Density: 14.01 g/cm³
Size of the total moment: 0.0 Bohr magnetons per cell
Total DFT energy (no corrections): -8.90 eV per atom

=====

DFT (PBE) results for a relaxed SrGa2Au6 crystal.

Cell lengths 5.818, 5.818, 7.039 Å; angles 90.00, 90.00, 120.00 degrees
Element x y z (fractional)
Sr 0.000 0.000 0.000
Ga 0.333 0.667 0.500
Ga 0.667 0.333 0.500
Au 0.500 0.000 0.208
Au 0.500 0.500 0.208
Au 0.000 0.500 0.208
Au 0.500 0.500 0.792
Au 0.000 0.500 0.792
Au 0.500 0.000 0.792

Computed properties:
D(E_F): 0.338 states/eV per atom
Density: 11.34 g/cm³
Relative energy among the computed polymorphs: 4.4 kJ per mole of atoms
Size of the total moment: 0.0 Bohr magnetons per cell
ΔH_f (0 K): -2.6 eV per formula unit
Total DFT energy (no corrections): -3.33 eV per atom